No. 1
Here is a relaxed MgSnIr2 crystal from the Open Quantum Materials Database. Energies are from PBE.

Structure (POSCAR):
```
MgSnIr2
1.0
4.4525 0.0000 0.0000
-2.2262 3.8560 0.0000
0.0000 0.0000 8.4122
Mg Sn Ir
2 2 4
Direct
0.3333 0.6667 0.2500
0.6667 0.3333 0.7500
0.0000 0.0000 0.0000
0.0000 0.0000 0.5000
0.3333 0.6667 0.5965
0.3333 0.6667 0.9035
0.6667 0.3333 0.0965
0.6667 0.3333 0.4035
```

Output
theoretical density = 12.13 g cm⁻³
raw total energy = -23.985 eV/f.u.


No. 2
Here is a relaxed NaHf3Sb5 crystal from the Open Quantum Materials Database. Energies are from PBE.

Structure (POSCAR):
```
NaHf3Sb5
1.0
5.9953 0.0000 0.0000
-2.9976 5.1921 0.0000
0.0000 0.0000 8.5818
Na Hf Sb
1 3 5
Direct
0.0000 0.0000 0.0000
0.0000 0.5000 0.5000
0.5000 0.0000 0.5000
0.5000 0.5000 0.5000
0.0000 0.0000 0.5000
0.3333 0.6667 0.2144
0.3333 0.6667 0.7856
0.6667 0.3333 0.2144
0.6667 0.3333 0.7856
```

Output
theoretical density = 7.26 g cm⁻³
raw total energy = -53.914 eV/f.u.


No. 3
Here is a relaxed GaFeMoIr crystal from the Open Quantum Materials Database. Energies are from PBE.

Structure (POSCAR):
```
GaFeMoIr
1.0
0.0000 3.0479 3.0479
3.0479 0.0000 3.0479
3.0479 3.0479 0.0000
Ga Fe Mo Ir
1 1 1 1
Direct
0.0000 0.0000 0.0000
0.2500 0.2500 0.2500
0.5000 0.5000 0.5000
0.7500 0.7500 0.7500
```

Output
theoretical density = 12.13 g cm⁻³
raw total energy = -31.309 eV/f.u.


No. 4
Here is a relaxed RbReAs crystal from the Open Quantum Materials Database. Energies are from PBE.

Structure (POSCAR):
```
RbReAs
1.0
0.0000 3.2465 3.2465
3.2465 0.0000 3.2465
3.2465 3.2465 0.0000
Rb Re As
1 1 1
Direct
0.0000 0.0000 0.0000
0.7500 0.7500 0.7500
0.5000 0.5000 0.5000
```

Output
theoretical density = 8.41 g cm⁻³
raw total energy = -13.295 eV/f.u.


No. 5
Here is a relaxed GdHoNO crystal from the Open Quantum Materials Database. Energies are from PBE.

Structure (POSCAR):
```
GdHoNO
1.0
8.0688 0.0000 0.0000
0.0000 6.6415 0.0000
0.0000 0.0000 4.9306
Gd Ho N O
4 4 4 4
Direct
0.1233 0.0693 0.2500
0.1233 0.4307 0.7500
0.8767 0.5693 0.2500
0.8767 0.9307 0.7500
0.3748 0.5841 0.2500
0.3748 0.9159 0.7500
0.6252 0.0841 0.2500
0.6252 0.4159 0.7500
0.3783 0.5735 0.7500
0.3783 0.9265 0.2500
0.6217 0.0735 0.7500
0.6217 0.4265 0.2500
0.1369 0.0913 0.7500
0.1369 0.4087 0.2500
0.8631 0.5913 0.7500
0.8631 0.9087 0.2500
```

Output
theoretical density = 8.85 g cm⁻³
raw total energy = -31.333 eV/f.u.


No. 6
Here is a relaxed TaAlFeHg crystal from the Open Quantum Materials Database. Energies are from PBE.

Structure (POSCAR):
```
TaAlFeHg
1.0
0.0000 3.2100 3.2100
3.2100 0.0000 3.2100
3.2100 3.2100 0.0000
Ta Al Fe Hg
1 1 1 1
Direct
0.0000 0.0000 0.0000
0.2500 0.2500 0.2500
0.5000 0.5000 0.5000
0.7500 0.7500 0.7500
```

Output
theoretical density = 11.66 g cm⁻³
raw total energy = -22.546 eV/f.u.